A geometry-optimized OsW3C structure. Source: the Alexandria database, functional GGA-PBE.

Computed properties:
polymorph energy (0 for the lowest one) = 3041 meV/atom
ΔE_f = 3238 meV per atom
raw total energy = -8.624 eV per atom
SG = No. 221

a b c (Å): 4.7377 4.7377 4.7377
angles (deg): 90.00 90.00 90.00
Last column: nearest neighbours and their distance in Å.
Fractional coordinates of all 5 atoms:
W 0.0000 0.5000 0.0000  2 Os 2.37
W 0.5000 0.0000 0.0000  2 Os 2.37
W 0.0000 0.0000 0.5000  2 Os 2.37
Os 0.0000 0.0000 0.0000  6 W 2.37
C 0.5000 0.5000 0.5000  12 W 3.35